## Sb2O5 (meta-GGA SCAN)

Data for a PBEsol-optimized structure of Sb2O5.

Unit cell a=4.8208 b=5.4634 c=6.8059 alpha=102.80 beta=110.74 gamma=90.00
Fractional positions:
O  0.4254  0.7500  0.0000
O  0.3776  0.8760  0.5947
O  0.0116  0.9459  0.2019
O  0.9884  0.0541  0.7981
O  0.2171  0.3760  0.5947
O  0.6224  0.1240  0.4053
O  0.5746  0.2500  0.0000
O  0.7829  0.6240  0.4053
O  0.8097  0.5541  0.7981
O  0.1903  0.4459  0.2019
Sb  0.6219  0.2199  0.7239
Sb  0.8980  0.2801  0.2761
Sb  0.3781  0.7801  0.2761
Sb  0.1020  0.7199  0.7239

## Properties
Space-group type: C2/c
E, eV/atom: -16.496
Magnetization, μB/cell: 0.00
Crystal system: monoclinic
E_form (uncorrected), eV/atom: -1.40
Polymorph energy (0 for the lowest one), eV/f.u.: 0.000